1.
The following is a DFT calculation (PBE) of a relaxed MgBi crystal.

## Properties
* N(E_F): 3.4 states/eV/cell
* ΔH_f (0 K): 0.0432 eV/atom

Unit cell a=5.0670 b=5.0670 c=6.2452 alpha=90.00 beta=90.00 gamma=120.00
Space group P6_3/mmc (No. 194)
Symmetry-distinct sites (fractional):
Mg (0.3333, 0.6667, 0.2500) x2
Bi (0.3333, 0.6667, 0.7500) x2

***

2.
The following is a DFT calculation (PBE) of a relaxed Sb2TeRhPb crystal.

## Properties
* N(E_F): 3.5 states/eV/cell
* formation energy without anion corrections: 0.16 eV per atom

Unit cell a=5.068 b=5.068 c=5.731 alpha=90.00 beta=90.00 gamma=90.00
Space group P4/mmm (No. 123)
Symmetry-distinct sites (fractional):
Sb (0.000, 0.500, 0.000) x2
Te (0.000, 0.000, 0.500) x1
Rh (0.000, 0.000, 0.000) x1
Pb (0.500, 0.500, 0.500) x1

***

3.
The following is a DFT calculation (PBE) of a relaxed MnCoCu2 crystal.

## Properties
* N(E_F): 14.8 states/eV/cell
* ΔH_f (0 K): 0.1565 eV/atom

Unit cell a=5.766 b=5.766 c=5.766 alpha=90.00 beta=90.00 gamma=90.00
Space group F-43m (No. 216)
Symmetry-distinct sites (fractional):
Mn (0.000, 0.000, 0.000) x4
Co (0.250, 0.250, 0.250) x4
Cu (0.000, 0.000, 0.500) x4
Cu (0.250, 0.250, 0.750) x4

***

4.
The following is a DFT calculation (PBE) of a relaxed Sm3Ga2Rh3 crystal.

## Properties
* N(E_F): 22.3 states/eV/cell
* ΔH_f (0 K): -0.7910 eV/atom

Unit cell a=7.680 b=15.155 c=5.777 alpha=90.00 beta=90.00 gamma=90.00
Space group Pnma (No. 62)
Symmetry-distinct sites (fractional):
Sm (0.032, 0.105, 0.144) x8
Sm (0.176, 0.250, 0.604) x4
Ga (0.116, 0.605, 0.362) x8
Rh (0.175, 0.750, 0.604) x4
Rh (0.180, 0.036, 0.587) x8

***

5.
The following is a DFT calculation (PBE) of a relaxed LiTe2Pt crystal.

## Properties
* N(E_F): 3.8 states/eV/cell
* formation energy without anion corrections: -0.48 eV per atom

Unit cell a=3.888 b=4.473 c=11.817 alpha=90.00 beta=90.00 gamma=90.00
Space group Immm (No. 71)
Symmetry-distinct sites (fractional):
Li (0.000, 0.000, 0.000) x2
Te (0.000, 0.500, 0.152) x4
Pt (0.000, 0.000, 0.500) x2

***

6.
The following is a DFT calculation (PBE) of a relaxed Sc3Mn8Nb crystal.

## Properties
* N(E_F): 25.9 states/eV/cell
* ΔH_f (0 K): -0.1321 eV/atom

Unit cell a=8.529 b=4.936 c=8.382 alpha=90.00 beta=109.80 gamma=90.00
Space group Cm (No. 8)
Symmetry-distinct sites (fractional):
Sc (0.000, 0.000, 0.000) x2
Sc (0.000, 0.500, 0.500) x2
Sc (0.375, 0.000, 0.124) x2
Mn (0.186, 0.250, 0.809) x4
Mn (0.188, 0.000, 0.563) x2
Mn (0.188, 0.500, 0.063) x2
Mn (0.189, 0.250, 0.316) x4
Mn (0.436, 0.000, 0.809) x2
Mn (0.439, 0.500, 0.316) x2
Nb (0.375, 0.500, 0.624) x2

***

7.
The following is a DFT calculation (PBE) of a relaxed Pr2EuTm crystal.

## Properties
* N(E_F): 12.7 states/eV/cell
* ΔH_f (0 K): 0.0289 eV/atom

Unit cell a=3.6804 b=3.6804 c=36.1907 alpha=90.00 beta=90.00 gamma=120.00
Space group R-3m (No. 166, hexagonal axes)
Symmetry-distinct sites (fractional):
Pr (0.0000, 0.0000, 0.2456) x6
Eu (0.0000, 0.0000, 0.0000) x3
Tm (0.0000, 0.0000, 0.5000) x3

***

8.
The following is a DFT calculation (PBE) of a relaxed NdDyErHg crystal.

## Properties
* N(E_F): 4.9 states/eV/cell
* ΔH_f (0 K): -0.2325 eV/atom

Unit cell a=3.638 b=3.638 c=8.881 alpha=90.00 beta=90.00 gamma=90.00
Space group P4mm (No. 99)
Symmetry-distinct sites (fractional):
Nd (0.000, 0.000, 0.000) x1
Dy (0.500, 0.500, 0.715) x1
Er (0.500, 0.500, 0.283) x1
Hg (0.000, 0.000, 0.495) x1

***

9.
The following is a DFT calculation (PBE) of a relaxed Nd6P2AuBr3 crystal.

## Properties
* N(E_F): 13.6 states/eV/cell
* formation energy without anion corrections: -1.30 eV per atom

Unit cell a=19.076 b=4.169 c=8.880 alpha=90.00 beta=105.90 gamma=90.00
Space group C2/m (No. 12)
Symmetry-distinct sites (fractional):
Nd (0.012, 0.000, 0.234) x4
Nd (0.164, 0.500, 0.115) x4
Nd (0.177, 0.500, 0.556) x4
P (0.168, 0.000, 0.334) x4
Au (0.000, 0.500, 0.000) x2
Br (0.000, 0.500, 0.500) x2
Br (0.165, 0.000, 0.827) x4

***

10.
The following is a DFT calculation (PBE) of a relaxed Ti3HgPb crystal.

## Properties
* N(E_F): 23.4 states/eV/cell
* ΔH_f (0 K): 0.1265 eV/atom

Unit cell a=3.182 b=14.195 c=9.489 alpha=90.00 beta=90.00 gamma=90.00
Space group Cmcm (No. 63)
Symmetry-distinct sites (fractional):
Ti (0.000, 0.130, 0.250) x4
Ti (0.000, 0.330, 0.507) x8
Hg (0.000, 0.000, 0.000) x4
Pb (0.000, 0.188, 0.750) x4

***

11.
The following is a DFT calculation (PBE) of a relaxed HoZrSi2 crystal.

## Properties
* N(E_F): 2.3 states/eV/cell
* formation energy without anion corrections: -0.84 eV per atom

Unit cell a=3.778 b=5.509 c=7.459 alpha=90.00 beta=90.00 gamma=90.00
Space group Pmc2_1 (No. 26)
Symmetry-distinct sites (fractional):
Ho (0.000, 0.129, 0.000) x2
Zr (0.500, 0.373, 0.358) x2
Si (0.000, 0.390, 0.637) x2
Si (0.500, 0.125, 0.716) x2

***

12.
The following is a DFT calculation (PBE) of a relaxed TmPPt crystal.

## Properties
* N(E_F): 1.4 states/eV/cell
* ΔH_f (0 K): -1.3374 eV/atom

Unit cell a=4.0953 b=4.0953 c=3.8568 alpha=90.00 beta=90.00 gamma=120.00
Space group P3m1 (No. 156)
Symmetry-distinct sites (fractional):
Tm (0.0000, 0.0000, 0.0000) x1
P (0.3333, 0.6667, 0.4920) x1
Pt (0.6667, 0.3333, 0.5065) x1